This record from Alexandria describes crystalline MnHBrF2 at its relaxed geometry. The functional is PBE with a Hubbard U.

```
data_MnHBrF2
_cell_length_a 3.829
_cell_length_b 3.829
_cell_length_c 6.029
_cell_angle_alpha 90.00
_cell_angle_beta 90.00
_cell_angle_gamma 90.00
_space_group_name_H-M_alt 'P 4/m m m'
_space_group_IT_number 123
_space_group_name_Hall '-P 4 2'
loop_
_atom_site_label
_atom_site_type_symbol
_atom_site_fract_x
_atom_site_fract_y
_atom_site_fract_z
_atom_site_occupancy
Mn1 Mn 0.000 0.000 0.000 1
H1 H 0.000 0.000 0.500 1
Br1 Br 0.500 0.500 0.500 1
F1 F 0.000 0.500 0.000 1
```

- size of the total moment (μB per cell) = 4.8
- theoretical density (Mg/m³) = 3.27
- DOS(E_F) (states/eV/cell) = 1.26
- energy (eV per cell) = -21.306
- volume (Å³ per cell) = 88.4